DFT (GGA-PBE) results for Ta2Mo3 after structural relaxation.

Unit cell a=8.402 b=8.402 c=8.402 alpha=157.96 beta=157.96 gamma=31.37
Sites, in units of the cell vectors:
Ta 0.196 0.196 0.000
Ta 0.804 0.804 0.000
Mo 0.000 0.000 0.000
Mo 0.403 0.403 0.000
Mo 0.597 0.597 0.000

The value obtained for the density of states at the Fermi level is 0.6174 states/eV per atom. As for the energy of formation from the pure elements: -130 meV per atom. The magnetic moment is 0.00 μB per cell. As for the density: 12.922 g/cm³.